Record 1
Entry from OQMD: a relaxed Y4AsAuC2 crystal (PBE).

Cell and atoms, written as POSCAR:
```
Y4AsAuC2
1.0
-1.173 0.431 -3.510
-2.475 -0.261 2.772
0.320 13.696 1.574
As Au C Y
1 1 2 4
Direct
0.667 0.333 0.500 As
0.000 0.000 0.000 Au
0.333 0.667 0.250 C
0.333 0.667 0.750 C
0.667 0.333 0.160 Y
0.000 0.000 0.356 Y
0.000 0.000 0.644 Y
0.667 0.333 0.840 Y
```

Values from the calculation:
Size of the total moment = 0.0 μB/cell
Calculated total energy = -7.162 eV per atom

***

Record 2
Entry from OQMD: a relaxed Zr4AsAuC2 crystal (PBE).

Cell and atoms, written as POSCAR:
```
Zr4AsAuC2
1.0
3.411 0.000 0.000
-1.706 2.954 0.000
0.000 0.000 13.427
As Au C Zr
1 1 2 4
Direct
0.000 0.000 0.000 As
0.333 0.667 0.500 Au
0.667 0.333 0.240 C
0.667 0.333 0.760 C
0.333 0.667 0.145 Zr
0.000 0.000 0.335 Zr
0.000 0.000 0.665 Zr
0.333 0.667 0.855 Zr
```

Values from the calculation:
Size of the total moment = 0.0 μB/cell
Calculated total energy = -8.380 eV per atom

***

Record 3
Entry from OQMD: a relaxed Cd2AsAu crystal (PBE).

Cell and atoms, written as POSCAR:
```
Cd2AsAu
1.0
-3.199 -0.895 3.541
-2.183 3.685 2.288
-4.726 0.850 -0.725
As Au Cd
1 1 2
Direct
0.500 0.500 0.500 As
0.250 0.250 0.250 Au
0.000 0.000 0.000 Cd
0.750 0.750 0.750 Cd
```

Values from the calculation:
Calculated total energy = -2.326 eV per atom

***

Record 4
Entry from OQMD: a relaxed CdCuAsAu crystal (PBE).

Cell and atoms, written as POSCAR:
```
CdCuAsAu
1.0
4.664 0.010 0.218
2.156 1.610 3.816
2.210 -2.959 2.857
As Au Cd Cu
1 1 1 1
Direct
0.000 0.000 0.000 As
0.500 0.500 0.500 Au
0.250 0.250 0.250 Cd
0.750 0.750 0.750 Cu
```

Values from the calculation:
Polymorph energy (0 for the lowest one) = 0 meV/atom

***

Record 5
Entry from OQMD: a relaxed CdNiAsAu crystal (PBE).

Cell and atoms, written as POSCAR:
```
CdNiAsAu
1.0
0.000 3.262 3.262
3.262 0.000 3.262
3.262 3.262 0.000
As Au Cd Ni
1 1 1 1
Direct
0.000 0.000 0.000 As
0.750 0.750 0.750 Au
0.250 0.250 0.250 Cd
0.500 0.500 0.500 Ni
```

Values from the calculation:
Size of the total moment = 0.0 μB/cell
Polymorph energy (0 for the lowest one) = 85 meV/atom

***

Record 6
Entry from OQMD: a relaxed CdNiAsAu crystal (PBE).

Cell and atoms, written as POSCAR:
```
CdNiAsAu
1.0
0.000 3.251 3.251
3.251 0.000 3.251
3.251 3.251 0.000
As Au Cd Ni
1 1 1 1
Direct
0.500 0.500 0.500 As
0.750 0.750 0.750 Au
0.000 0.000 0.000 Cd
0.250 0.250 0.250 Ni
```

Values from the calculation:
Size of the total moment = 0.0 μB/cell
Polymorph energy (0 for the lowest one) = 0 meV/atom

***

Record 7
Entry from OQMD: a relaxed CdAsAuO crystal (PBE).

Cell and atoms, written as POSCAR:
```
CdAsAuO
1.0
-3.311 -0.307 2.812
0.786 -4.258 0.461
5.045 1.594 6.115
As Au Cd O
2 2 2 2
Direct
0.750 0.750 0.324 As
0.250 0.250 0.676 As
0.750 0.250 0.500 Au
0.250 0.750 0.500 Au
0.250 0.250 0.075 Cd
0.750 0.750 0.925 Cd
0.750 0.250 0.000 O
0.250 0.750 0.000 O
```

Values from the calculation:
Polymorph energy (0 for the lowest one) = 28 meV/atom

***

Record 8
Entry from OQMD: a relaxed CdAsAuO crystal (PBE).

Cell and atoms, written as POSCAR:
```
CdAsAuO
1.0
4.515 0.000 0.000
0.000 4.515 0.000
0.000 0.000 8.255
As Au Cd O
2 2 2 2
Direct
0.750 0.750 0.317 As
0.250 0.250 0.683 As
0.750 0.750 0.007 Au
0.250 0.250 0.993 Au
0.750 0.250 0.500 Cd
0.250 0.750 0.500 Cd
0.750 0.250 0.000 O
0.250 0.750 0.000 O
```

Values from the calculation:
Polymorph energy (0 for the lowest one) = 487 meV/atom